Entry from Alexandria: a geometry-optimized ScVAsSe2 structure (PBE).

## Properties
E_form (uncorrected) ... -0.24 eV per atom
Mass density ... 4.90 Mg/m³
Energy ... -28.28 eV for the cell shown
Energy relative to the lowest polymorph listed for this composition ... 0.00 eV per formula unit

Lattice parameters (Å, degrees): 4.8524 4.8524 4.7338 90.00 90.00 90.00
With the nearest neighbours (Å) after each atom.
Space group P4/mmm (No. 123)
Asymmetric unit:
Sc 0.0000 0.0000 0.0000 x1  8 Se 3.39, 4 As 3.43
V 0.5000 0.5000 0.5000 x1  2 As 2.37, 4 Se 2.43
As 0.5000 0.5000 0.0000 x1  2 V 2.37
Se 0.0000 0.5000 0.5000 x2  2 V 2.43